## PHRhCl2 (PBE)

Data for a geometry-optimized PHRhCl2 structure.

a b c (Å): 4.7782 4.7782 3.2496
angles (deg): 90.00 90.00 90.00
Atoms (fractional coordinates):
P 0.0000 0.0000 0.0000
H 0.0000 0.0000 0.5000
Rh 0.5000 0.5000 0.0000
Cl 0.0000 0.5000 0.5000
Cl 0.5000 0.0000 0.5000

Properties
**Offset from the most stable computed form**: 1.11 eV/f.u.
**Space-group type**: P4/mmm